An optimized crystal structure of TbInHg3O4, computed with PBE.

Summary:
The total magnetization comes out at 0.00 μB/cell. As for the calculated volume: 22.75 Å³ per atom. Its space group is No. 215. The total energy is -3.88 eV/atom.

Lattice parameters (Å, degrees): 5.8943 5.8943 5.8943 90.00 90.00 90.00
Last column: nearest neighbours and their distance in Å.
Sites, in units of the cell vectors:
O: 0.7128 0.7128 0.2872  1 Tb 2.17
O: 0.2872 0.7128 0.7128  1 Tb 2.17
O: 0.7128 0.2872 0.7128  1 Tb 2.17
O: 0.2872 0.2872 0.2872  1 Tb 2.17
Hg: 0.5000 0.0000 0.5000  4 O 2.45
Hg: 0.0000 0.5000 0.5000  4 O 2.45
Hg: 0.5000 0.5000 0.0000  4 O 2.45
Tb: 0.5000 0.5000 0.5000  4 O 2.17
In: 0.0000 0.0000 0.0000  4 O 2.93

An optimized crystal structure of TbInHgO3, computed with PBE.

Summary:
The total magnetization comes out at 0.00 μB/cell. As for the calculated volume: 17.17 Å³ per atom. Its space group is No. 63. The total energy is -5.61 eV/atom.

Lattice parameters (Å, degrees): 7.3078 7.3078 8.3337 90.00 90.00 27.57
Last column: nearest neighbours and their distance in Å.
Sites, in units of the cell vectors:
O: 0.3965 0.3965 0.4814  2 Tb 2.28, 1 Hg 2.30, 1 In 2.34
O: 0.6035 0.6035 0.9814  2 Tb 2.28, 1 Hg 2.30, 1 In 2.34
O: 0.9426 0.9426 0.7500  2 In 2.19, 2 Tb 2.24
O: 0.6035 0.6035 0.5186  2 Tb 2.28, 1 Hg 2.30, 1 In 2.34
O: 0.3965 0.3965 0.0186  2 Tb 2.28, 1 Hg 2.30, 1 In 2.34
O: 0.0574 0.0574 0.2500  2 In 2.19, 2 Tb 2.24
Hg: 0.6922 0.6922 0.7500  2 O 2.30
Hg: 0.3078 0.3078 0.2500  2 O 2.30
In: 0.3495 0.3495 0.7500  4 O 2.19-2.34
In: 0.6505 0.6505 0.2500  4 O 2.19-2.34
Tb: 0.0000 0.0000 0.5000  6 O 2.24-2.28
Tb: 0.0000 0.0000 0.0000  6 O 2.24-2.28

An optimized crystal structure of InHgTeO, computed with PBE.

Summary:
Its relative energy among the computed polymorphs is 136 meV/atom. As for the calculated volume: 21.74 Å³ per atom. Its space group is No. 129. The total energy is -3.19 eV/atom.

Lattice parameters (Å, degrees): 4.1666 4.1666 10.0166 90.00 90.00 90.00
Last column: nearest neighbours and their distance in Å.
Sites, in units of the cell vectors:
Te: 0.7500 0.7500 0.2819  4 Hg 3.02
Te: 0.2500 0.2500 0.7181  4 Hg 3.02
Hg: 0.7500 0.2500 0.5000  4 Hg 2.95, 4 Te 3.02
Hg: 0.2500 0.7500 0.5000  4 Hg 2.95, 4 Te 3.02
In: 0.2500 0.2500 0.0948  4 O 2.29
In: 0.7500 0.7500 0.9052  4 O 2.29
O: 0.7500 0.2500 0.0000  4 In 2.29
O: 0.2500 0.7500 0.0000  4 In 2.29

An optimized crystal structure of InHgTeO, computed with PBE.

Summary:
Its relative energy among the computed polymorphs is 0 meV/atom. As for the calculated volume: 29.24 Å³ per atom. Its space group is No. 26. The total energy is -3.32 eV/atom.

Lattice parameters (Å, degrees): 4.3415 9.1011 5.9205 90.00 90.00 90.00
Last column: nearest neighbours and their distance in Å.
Sites, in units of the cell vectors:
In: 0.5000 0.8886 0.0468  2 O 2.03-2.07
In: 0.5000 0.1114 0.5468  2 O 2.03-2.07
Hg: 0.0000 0.7143 0.6197  2 O 2.85, 2 Te 2.93-3.00
Hg: 0.0000 0.2857 0.1197  2 O 2.85, 2 Te 2.93-3.00
Te: 0.0000 0.3081 0.6252  2 In 2.85, 2 Hg 2.93-3.00
Te: 0.0000 0.6919 0.1252  2 In 2.85, 2 Hg 2.93-3.00
O: 0.5000 0.9110 0.6993  2 In 2.03-2.07
O: 0.5000 0.0890 0.1993  2 In 2.03-2.07

An optimized crystal structure of TmInHgO3, computed with PBE.

Summary:
The total magnetization comes out at 0.00 μB/cell. As for the calculated volume: 16.58 Å³ per atom. Its space group is No. 63. The total energy is -5.65 eV/atom.

Lattice parameters (Å, degrees): 7.2714 7.2714 8.2509 90.00 90.00 27.13
Last column: nearest neighbours and their distance in Å.
Sites, in units of the cell vectors:
O: 0.6016 0.6016 0.9813  2 Tm 2.23, 1 Hg 2.30, 1 In 2.31
O: 0.3984 0.3984 0.0187  2 Tm 2.23, 1 Hg 2.30, 1 In 2.31
O: 0.0512 0.0512 0.2500  2 In 2.18, 2 Tm 2.19
O: 0.9488 0.9488 0.7500  2 In 2.18, 2 Tm 2.19
O: 0.6016 0.6016 0.5187  2 Tm 2.23, 1 Hg 2.30, 1 In 2.31
O: 0.3984 0.3984 0.4813  2 Tm 2.23, 1 Hg 2.30, 1 In 2.31
Tm: 0.0000 0.0000 0.0000  6 O 2.19-2.23
Tm: 0.0000 0.0000 0.5000  6 O 2.19-2.23
Hg: 0.6928 0.6928 0.7500  2 O 2.30
Hg: 0.3072 0.3072 0.2500  2 O 2.30
In: 0.3523 0.3523 0.7500  4 O 2.18-2.31
In: 0.6477 0.6477 0.2500  4 O 2.18-2.31

An optimized crystal structure of YInHgO3, computed with PBE.

Summary:
The total magnetization comes out at 0.00 μB/cell. As for the calculated volume: 17.05 Å³ per atom. Its space group is No. 63. The total energy is -5.92 eV/atom.

Lattice parameters (Å, degrees): 7.3012 7.3012 8.3079 90.00 90.00 27.51
Last column: nearest neighbours and their distance in Å.
Sites, in units of the cell vectors:
O: 0.0563 0.0563 0.2500  2 In 2.18, 2 Y 2.23
O: 0.6036 0.6036 0.9822  2 Y 2.28, 1 Hg 2.31, 1 In 2.32
O: 0.3964 0.3964 0.4822  2 Y 2.28, 1 Hg 2.31, 1 In 2.32
O: 0.9437 0.9437 0.7500  2 In 2.18, 2 Y 2.23
O: 0.3964 0.3964 0.0178  2 Y 2.28, 1 Hg 2.31, 1 In 2.32
O: 0.6036 0.6036 0.5178  2 Y 2.28, 1 Hg 2.31, 1 In 2.32
In: 0.6498 0.6498 0.2500  4 O 2.18-2.32
In: 0.3502 0.3502 0.7500  4 O 2.18-2.32
Hg: 0.3073 0.3073 0.2500  2 O 2.31
Hg: 0.6927 0.6927 0.7500  2 O 2.31
Y: 0.0000 0.0000 0.5000  6 O 2.23-2.28
Y: 0.0000 0.0000 0.0000  6 O 2.23-2.28

An optimized crystal structure of ZrInHg3O4, computed with PBE.

Summary:
The total magnetization comes out at 0.01 μB/cell. As for the calculated volume: 23.70 Å³ per atom. Its space group is No. 215. The total energy is -4.37 eV/atom.

Lattice parameters (Å, degrees): 5.9748 5.9748 5.9748 90.00 90.00 90.00
Last column: nearest neighbours and their distance in Å.
Sites, in units of the cell vectors:
O: 0.6962 0.3038 0.6962  1 Zr 2.03
O: 0.3038 0.3038 0.3038  1 Zr 2.03
O: 0.6962 0.6962 0.3038  1 Zr 2.03
O: 0.3038 0.6962 0.6962  1 Zr 2.03
Zr: 0.5000 0.5000 0.5000  4 O 2.03
Hg: 0.0000 0.5000 0.5000  4 O 2.46
Hg: 0.5000 0.5000 0.0000  4 O 2.46
Hg: 0.5000 0.0000 0.5000  4 O 2.46
In: 0.0000 0.0000 0.0000  4 O 3.14

An optimized crystal structure of InHg2Os, computed with PBE.

Summary:
The total magnetization comes out at 0.08 μB/cell. As for the calculated volume: 19.71 Å³ per atom. Its space group is No. 216. The total energy is -2.84 eV/atom.

Lattice parameters (Å, degrees): 4.8130 4.8130 4.8130 60.00 60.00 60.00
Last column: nearest neighbours and their distance in Å.
Sites, in units of the cell vectors:
Hg: 0.7500 0.7500 0.7500  4 In 2.95, 4 Hg 2.95
Hg: 0.0000 0.0000 0.0000  4 Os 2.95, 4 Hg 2.95
Os: 0.2500 0.2500 0.2500  4 Hg 2.95, 4 In 2.95
In: 0.5000 0.5000 0.5000  4 Hg 2.95, 4 Os 2.95

Look up the calculated volume of the fourth one.
29.24 Å³ per atom